Density functional theory data (PBE-GGA) for a geometry-optimized Rb2PuThS4 structure.

abc: 4.1957 7.2336 8.0824
angles: 107.44 90.00 90.00
Last column: nearest neighbours and their distance in Å.
Fractional coordinates of all 8 atoms:
S (0.0000, 0.2718, 0.8027)  2 Th 2.84, 1 Pu 2.88
S (0.5000, 0.7645, 0.8066)  1 Th 2.81, 2 Pu 2.85
S (0.0000, 0.7282, 0.1973)  2 Th 2.84, 1 Pu 2.88
S (0.5000, 0.2355, 0.1934)  1 Th 2.81, 2 Pu 2.85
Rb (0.0000, 0.5000, 0.5000)  6 S 3.34-3.37
Rb (0.5000, 0.0000, 0.5000)  6 S 3.37-3.40
Th (0.5000, 0.5000, 0.0000)  6 S 2.81-2.84
Pu (0.0000, 0.0000, 0.0000)  6 S 2.85-2.88

Output
The calculation puts the magnetic moment at 6.0 μB/cell. The density of states at the Fermi level is 1.560 states/eV/atom. For the electronic total energy, the calculation gives -6.672 eV/atom.